A geometry-optimized NaIn14Sn structure. Source: the Alexandria database, functional GGA-PBE.

Unit cell a=7.0931 b=7.0931 c=8.5898 alpha=90.00 beta=90.00 gamma=90.00
Atoms (fractional coordinates):
Na: 0.0000 0.0000 0.0000
In: 0.0000 0.0000 0.5000
In: 0.0000 0.5000 0.0000
In: 0.0000 0.5000 0.5000
In: 0.2520 0.2520 0.2506
In: 0.2520 0.2520 0.7494
In: 0.2520 0.7480 0.2506
In: 0.2520 0.7480 0.7494
In: 0.5000 0.0000 0.0000
In: 0.5000 0.0000 0.5000
In: 0.5000 0.5000 0.5000
In: 0.7480 0.2520 0.2506
In: 0.7480 0.2520 0.7494
In: 0.7480 0.7480 0.2506
In: 0.7480 0.7480 0.7494
Sn: 0.5000 0.5000 0.0000

## Properties
The symmetry is P4/mmm (123). The value obtained for the energy of formation from the pure elements is -0.1 eV per formula unit.